1.
Compound: ZrMnNiPb2
Source: the Alexandria database
Functional: GGA-PBE
Structure: optimized geometry

Calculated values
E_form = 0.791 eV/atom
Crystal system = tetragonal
Relative energy among the computed polymorphs = 110 meV/atom
D(E_F) = 8.542 states/eV/f.u.

Lattice parameters (Å, degrees): 4.9936 4.9936 4.3999 90.00 90.00 90.00
With the nearest neighbours (Å) after each atom.
Space group P4/mmm (No. 123)
One atom of each set of equivalent atoms:
Zr: 0.0000 0.0000 0.0000 [1 per cell]  8 Pb 3.33, 4 Ni 3.53
Mn: 0.5000 0.5000 0.5000 [1 per cell]  2 Ni 2.20
Ni: 0.5000 0.5000 0.0000 [1 per cell]  2 Mn 2.20
Pb: 0.0000 0.5000 0.5000 [2 per cell]  2 Mn 2.50

=====

2.
Compound: Zr2AlTlHg
Source: the Alexandria database
Functional: GGA-PBE
Structure: optimized geometry

Calculated values
E_form = 1.157 eV/atom
Crystal system = tetragonal
D(E_F) = 5.206 states/eV/f.u.

Lattice parameters (Å, degrees): 5.4130 5.4130 5.1996 90.00 90.00 90.00
With the nearest neighbours (Å) after each atom.
Space group P4/mmm (No. 123)
One atom of each set of equivalent atoms:
Zr: 0.0000 0.5000 0.0000 [2 per cell]  2 Tl 2.71
Al: 0.0000 0.0000 0.5000 [1 per cell]  8 Zr 3.75, 4 Hg 3.83
Tl: 0.5000 0.5000 0.0000 [1 per cell]  2 Hg 2.60, 4 Zr 2.71
Hg: 0.5000 0.5000 0.5000 [1 per cell]  2 Tl 2.60

=====

3.
Compound: AuNClO2
Source: the Alexandria database
Functional: GGA-PBE
Structure: optimized geometry

Calculated values
Crystal system = tetragonal
E_form (uncorrected) = 1.33 eV per atom
D(E_F) = 3.280 states/eV/f.u.

Lattice parameters (Å, degrees): 3.4706 3.4706 6.2223 90.00 90.00 90.00
With the nearest neighbours (Å) after each atom.
Space group P4/mmm (No. 123)
One atom of each set of equivalent atoms:
Au: 0.0000 0.0000 0.0000 [1 per cell]  4 Cl 2.45
N: 0.0000 0.0000 0.5000 [1 per cell]  4 O 1.74
Cl: 0.5000 0.5000 0.0000 [1 per cell]  4 Au 2.45
O: 0.0000 0.5000 0.5000 [2 per cell]  2 N 1.74

=====

4.
Compound: BeZnAg2F
Source: the Alexandria database
Functional: GGA-PBE
Structure: optimized geometry

Calculated values
Crystal system = tetragonal
E_form (uncorrected) = 0.12 eV per atom
D(E_F) = 2.690 states/eV/f.u.

Lattice parameters (Å, degrees): 4.3736 4.3736 4.3596 90.00 90.00 90.00
With the nearest neighbours (Å) after each atom.
Space group P4/mmm (No. 123)
One atom of each set of equivalent atoms:
Be: 0.0000 0.0000 0.0000 [1 per cell]  2 Zn 2.18, 4 Ag 2.19
Zn: 0.0000 0.0000 0.5000 [1 per cell]  2 Be 2.18
Ag: 0.0000 0.5000 0.0000 [2 per cell]  2 Be 2.19
F: 0.5000 0.5000 0.5000 [1 per cell]  8 Ag 3.09, 4 Zn 3.09

=====

5.
Compound: Ba2NbBF
Source: the Alexandria database
Functional: GGA-PBE
Structure: optimized geometry

Calculated values
Crystal system = tetragonal
E_form (uncorrected) = 0.20 eV per atom
D(E_F) = 3.379 states/eV/f.u.

Lattice parameters (Å, degrees): 5.5058 5.5058 4.4390 90.00 90.00 90.00
With the nearest neighbours (Å) after each atom.
Space group P4/mmm (No. 123)
One atom of each set of equivalent atoms:
Ba: 0.0000 0.5000 0.0000 [2 per cell]  2 F 2.75
Nb: 0.0000 0.0000 0.5000 [1 per cell]  2 F 2.22
B: 0.5000 0.5000 0.5000 [1 per cell]  8 Ba 3.54, 4 Nb 3.89
F: 0.0000 0.0000 0.0000 [1 per cell]  2 Nb 2.22

=====

6.
Compound: TaNb4Si3
Source: the Alexandria database
Functional: GGA-PBE
Structure: optimized geometry

Calculated values
Crystal system = tetragonal
E_form (uncorrected) = -0.65 eV per atom
D(E_F) = 3.998 states/eV/f.u.

Lattice parameters (Å, degrees): 10.0521 10.0521 5.1237 90.00 90.00 90.00
With the nearest neighbours (Å) after each atom.
Space group I4/mcm (No. 140)
One atom of each set of equivalent atoms:
Ta: 0.0000 0.5000 0.2500 [4 per cell]  2 Ta 2.56, 4 Si 2.66
Nb: 0.0757 0.2199 0.0000 [16 per cell]  6 Si 2.67-2.95, 3 Nb 2.91-2.98
Si: 0.0000 0.0000 0.2500 [4 per cell]  2 Si 2.56, 8 Nb 2.67
Si: 0.1643 0.3357 0.5000 [8 per cell]  2 Ta 2.66, 8 Nb 2.67-2.95

=====

7.
Compound: LiTcBPb2
Source: the Alexandria database
Functional: GGA-PBE
Structure: optimized geometry

Calculated values
E_form = 1.387 eV/atom
Crystal system = tetragonal
D(E_F) = 4.065 states/eV/f.u.

Lattice parameters (Å, degrees): 5.3013 5.3013 4.8303 90.00 90.00 90.00
With the nearest neighbours (Å) after each atom.
Space group P4/mmm (No. 123)
One atom of each set of equivalent atoms:
Li: 0.0000 0.0000 0.0000 [1 per cell]  2 Tc 2.42
Tc: 0.0000 0.0000 0.5000 [1 per cell]  2 Li 2.42, 4 Pb 2.65
B: 0.5000 0.5000 0.0000 [1 per cell]  8 Pb 3.59, 4 Li 3.75
Pb: 0.0000 0.5000 0.5000 [2 per cell]  2 Tc 2.65

=====

8.
Compound: KMn2Zn
Source: the Alexandria database
Functional: GGA-PBE
Structure: optimized geometry

Calculated values
E_form = 0.993 eV/atom
Crystal system = orthorhombic
D(E_F) = 4.654 states/eV/f.u.

Lattice parameters (Å, degrees): 5.8608 10.3118 2.7787 90.00 90.00 90.00
With the nearest neighbours (Å) after each atom.
Space group Cmmm (No. 65)
One atom of each set of equivalent atoms:
K: 0.0000 0.0000 0.0000 [2 per cell]  2 K 2.78, 2 Zn 2.93
Mn: 0.2500 0.2500 0.5000 [4 per cell]  4 Mn 2.78-2.93
Zn: 0.0000 0.5000 0.0000 [2 per cell]  2 Zn 2.78, 2 K 2.93

=====

9.
Compound: Li2MgZnAu2
Source: the Alexandria database
Functional: GGA-PBE
Structure: optimized geometry

Calculated values
E_form = -0.473 eV/atom
Crystal system = orthorhombic
D(E_F) = 1.022 states/eV/f.u.

Lattice parameters (Å, degrees): 3.7943 12.3421 4.1332 90.00 90.00 90.00
With the nearest neighbours (Å) after each atom.
Space group Pmc2_1 (No. 26)
One atom of each set of equivalent atoms:
Li: 0.0000 0.0745 0.0000 [2 per cell]  6 Au 2.75-2.81, 4 Li 2.76-2.77, 2 Zn 2.92
Li: 0.5000 0.2365 0.0008 [2 per cell]  4 Au 2.75-2.77, 2 Li 2.76, 4 Zn 2.81, 2 Mg 3.01-3.02
Mg: 0.5000 0.4142 0.5015 [2 per cell]  6 Au 2.81-3.00, 2 Zn 2.85, 2 Mg 2.96, 2 Li 3.01-3.02
Zn: 0.0000 0.2415 0.5008 [2 per cell]  4 Au 2.69-2.83, 6 Li 2.81-2.92, 2 Mg 2.85
Au: 0.0000 0.3976 0.0013 [2 per cell]  2 Li 2.75, 6 Mg 2.81-3.00, 2 Zn 2.82-2.83
Au: 0.5000 0.0867 0.5004 [2 per cell]  2 Zn 2.69, 8 Li 2.75-2.81, 2 Au 2.97

=====

10.
Compound: Sr2Sn3Ge
Source: the Alexandria database
Functional: GGA-PBE
Structure: optimized geometry

Calculated values
E_form = -0.431 eV/atom
Crystal system = monoclinic
Relative energy among the computed polymorphs = 3 meV/atom
D(E_F) = 1.825 states/eV/f.u.

Lattice parameters (Å, degrees): 13.0032 4.5033 9.2157 90.00 134.80 90.00
With the nearest neighbours (Å) after each atom.
Space group Cm (No. 8)
One atom of each set of equivalent atoms:
Sr: 0.0000 0.0000 0.0000 [2 per cell]  8 Sn 3.53-3.89, 3 Ge 3.53-3.85
Sr: 0.0046 0.5000 0.5462 [2 per cell]  2 Ge 3.47, 8 Sn 3.51-3.85
Sn: 0.2372 0.0000 0.6012 [2 per cell]  1 Ge 2.84, 2 Sn 2.88
Sn: 0.2399 0.5000 0.4095 [2 per cell]  3 Sn 2.88-3.04
Sn: 0.2709 0.5000 0.1123 [2 per cell]  2 Ge 2.75, 1 Sn 3.04
Ge: 0.2590 0.0000 0.9303 [2 per cell]  3 Sn 2.75-2.84

=====

11.
Compound: K2Al3CdAu12
Source: the Alexandria database
Functional: GGA-PBE
Structure: optimized geometry

Calculated values
E_form = -0.084 eV/atom
Crystal system = trigonal
D(E_F) = 6.715 states/eV/f.u.

Lattice parameters (Å, degrees): 9.1382 9.1382 19.1790 90.00 90.00 120.00
With the nearest neighbours (Å) after each atom.
Space group R-3m (No. 166, hexagonal axes)
One atom of each set of equivalent atoms:
K: 0.0000 0.0000 0.0946 [6 per cell]  6 Au 3.34-3.51, 1 K 3.63
Al: 0.0000 0.5000 0.0000 [9 per cell]  6 Au 2.56-2.57
Cd: 0.0000 0.0000 0.5000 [3 per cell]  6 Au 2.69
Au: 0.0030 0.5015 0.1336 [18 per cell]  1 Al 2.56, 1 Cd 2.69, 2 Au 2.80
Au: 0.0995 0.5497 0.3886 [18 per cell]  2 Al 2.57, 2 Au 2.80

=====

12.
Compound: UPa2Al
Source: the Alexandria database
Functional: GGA-PBE
Structure: optimized geometry

Calculated values
E_form = 0.370 eV/atom
Crystal system = trigonal
Relative energy among the computed polymorphs = 438 meV/atom
D(E_F) = 3.978 states/eV/f.u.

Lattice parameters (Å, degrees): 3.6524 3.6524 24.2360 90.00 90.00 120.00
With the nearest neighbours (Å) after each atom.
Space group R-3m (No. 166, hexagonal axes)
One atom of each set of equivalent atoms:
U: 0.0000 0.0000 0.0000 [3 per cell]  6 Pa 2.69
Pa: 0.0000 0.0000 0.2645 [6 per cell]  3 U 2.69
Al: 0.0000 0.0000 0.5000 [3 per cell]  6 Pa 3.17

=====

13.
Compound: H3Rh2Au
Source: the Alexandria database
Functional: GGA-PBE
Structure: optimized geometry

Calculated values
Crystal system = orthorhombic
DFT total energy = -4.536 eV/atom
D(E_F) = 3.107 states/eV/f.u.

Lattice parameters (Å, degrees): 8.2669 4.7564 5.6118 90.00 90.00 90.00
With the nearest neighbours (Å) after each atom.
Space group Cmcm (No. 63)
One atom of each set of equivalent atoms:
H: 0.0000 0.0287 0.2500 [4 per cell]  4 Rh 1.96
H: 0.2472 0.1920 0.7500 [8 per cell]  2 Rh 1.81
Rh: 0.1651 0.0000 0.0000 [8 per cell]  4 H 1.81-1.96
Au: 0.0000 0.4944 0.7500 [4 per cell]  6 H 2.27-2.50

=====

14.
Compound: Ho2PuTe
Source: the Alexandria database
Functional: GGA-PBE
Structure: optimized geometry

Calculated values
Crystal system = tetragonal
E_form (uncorrected) = -0.37 eV per atom
Relative energy among the computed polymorphs = 78 meV/atom
D(E_F) = 9.741 states/eV/f.u.

Lattice parameters (Å, degrees): 4.7995 4.7995 4.6292 90.00 90.00 90.00
With the nearest neighbours (Å) after each atom.
Space group P4/mmm (No. 123)
One atom of each set of equivalent atoms:
Ho: 0.0000 0.5000 0.0000 [2 per cell]  4 Te 3.33, 4 Pu 3.33, 4 Ho 3.39
Pu: 0.0000 0.0000 0.5000 [1 per cell]  8 Ho 3.33, 4 Te 3.39
Te: 0.5000 0.5000 0.5000 [1 per cell]  8 Ho 3.33, 4 Pu 3.39

=====

15.
Compound: K5Hg12I3
Source: the Alexandria database
Functional: GGA-PBE
Structure: optimized geometry

Calculated values
Crystal system = cubic
E_form (uncorrected) = -0.25 eV per atom
D(E_F) = 8.239 states/eV/f.u.

Lattice parameters (Å, degrees): 19.9598 19.9598 19.9598 90.00 90.00 90.00
With the nearest neighbours (Å) after each atom.
Space group Ia-3d (No. 230)
One atom of each set of equivalent atoms:
K: 0.0000 0.0000 0.0000 [16 per cell]  6 Hg 3.46
K: 0.0000 0.2500 0.3750 [24 per cell]  4 Hg 3.48
Hg: 0.0067 0.0830 0.6521 [96 per cell]  2 I 3.38-3.67, 1 Hg 3.40, 2 K 3.46-3.48
I: 0.0000 0.2500 0.1250 [24 per cell]  8 Hg 3.38-3.67

=====

16.
Compound: Cu2HgSb
Source: the Alexandria database
Functional: GGA-PBE
Structure: optimized geometry

Calculated values
Crystal system = tetragonal
E_form (uncorrected) = 0.27 eV per atom
D(E_F) = 1.446 states/eV/f.u.

Lattice parameters (Å, degrees): 4.3871 4.3871 17.2067 90.00 90.00 90.00
With the nearest neighbours (Å) after each atom.
Space group I-42d (No. 122)
One atom of each set of equivalent atoms:
Cu: 0.2040 0.2500 0.1250 [8 per cell]  2 Sb 2.57, 2 Hg 2.74, 2 Cu 2.83
Hg: 0.0000 0.0000 0.5000 [4 per cell]  4 Cu 2.74
Sb: 0.0000 0.0000 0.0000 [4 per cell]  4 Cu 2.57

=====

17.
Compound: Hf2BeAl2
Source: the Alexandria database
Functional: GGA-PBE
Structure: optimized geometry

Calculated values
E_form = -0.192 eV/atom
Crystal system = tetragonal
D(E_F) = 2.124 states/eV/f.u.

Lattice parameters (Å, degrees): 6.3311 6.3311 4.3363 90.00 90.00 90.00
With the nearest neighbours (Å) after each atom.
Space group P4/mbm (No. 127)
One atom of each set of equivalent atoms:
Hf: 0.1672 0.3328 0.0000 [4 per cell]  6 Al 2.76-2.92, 1 Hf 2.99
Be: 0.0000 0.0000 0.5000 [2 per cell]  4 Al 2.44
Al: 0.1412 0.6412 0.5000 [4 per cell]  2 Be 2.44, 1 Al 2.53

=====

18.
Compound: TlRe2TcAu
Source: the Alexandria database
Functional: GGA-PBE
Structure: optimized geometry

Calculated values
E_form = 1.826 eV/atom
Crystal system = tetragonal
D(E_F) = 5.036 states/eV/f.u.

Lattice parameters (Å, degrees): 4.7041 4.7041 5.1968 90.00 90.00 90.00
With the nearest neighbours (Å) after each atom.
Space group P4/mmm (No. 123)
One atom of each set of equivalent atoms:
Tl: 0.0000 0.0000 0.0000 [1 per cell]  2 Tc 2.60
Re: 0.0000 0.5000 0.5000 [2 per cell]  2 Tc 2.35
Tc: 0.0000 0.0000 0.5000 [1 per cell]  4 Re 2.35, 2 Tl 2.60
Au: 0.5000 0.5000 0.0000 [1 per cell]  4 Tl 3.33, 8 Re 3.50

=====

19.
Compound: AlGaBr2N
Source: the Alexandria database
Functional: GGA-PBE
Structure: optimized geometry

Calculated values
Crystal system = tetragonal
E_form (uncorrected) = 0.08 eV per atom
D(E_F) = 2.673 states/eV/f.u.

Lattice parameters (Å, degrees): 5.9012 5.9012 3.4674 90.00 90.00 90.00
With the nearest neighbours (Å) after each atom.
Space group P4/mmm (No. 123)
One atom of each set of equivalent atoms:
Al: 0.0000 0.0000 0.0000 [1 per cell]  2 N 1.73
Ga: 0.5000 0.5000 0.0000 [1 per cell]  8 Br 3.42, 2 Ga 3.47
Br: 0.0000 0.5000 0.5000 [2 per cell]  2 N 2.95
N: 0.0000 0.0000 0.5000 [1 per cell]  2 Al 1.73

=====

20.
Compound: Al2Co2Au
Source: the Alexandria database
Functional: GGA-PBE
Structure: optimized geometry

Calculated values
E_form = -0.025 eV/atom
Crystal system = tetragonal
Relative energy among the computed polymorphs = 254 meV/atom
D(E_F) = 4.722 states/eV/f.u.

Lattice parameters (Å, degrees): 3.3037 3.3037 13.6748 90.00 90.00 90.00
With the nearest neighbours (Å) after each atom.
Space group I4/mmm (No. 139)
One atom of each set of equivalent atoms:
Al: 0.0000 0.0000 0.1115 [4 per cell]  4 Co 2.51, 4 Au 2.79
Co: 0.0000 0.5000 0.2500 [4 per cell]  4 Co 2.34, 4 Al 2.51
Au: 0.0000 0.0000 0.5000 [2 per cell]  8 Al 2.79